# 1
# Fe2CoPt6 (PBE, optimized geometry)
data_Fe2CoPt6
_space_group_name_H-M_alt 'P 1'
_space_group_IT_number 1
_space_group_name_Hall 'P 1'
_cell_length_a 3.889
_cell_length_b 6.046
_cell_length_c 6.179
_cell_angle_alpha 84.19
_cell_angle_beta 71.66
_cell_angle_gamma 71.24
loop_
_atom_site_label
_atom_site_type_symbol
_atom_site_fract_x
_atom_site_fract_y
_atom_site_fract_z
Pt1 Pt 0.341 0.818 0.500
Pt2 Pt 0.659 0.182 0.500
Pt3 Pt 0.323 0.188 0.166
Pt4 Pt 0.677 0.812 0.834
Pt5 Pt 0.011 0.812 0.166
Pt6 Pt 0.989 0.188 0.834
Fe1 Fe 0.339 0.500 0.821
Fe2 Fe 0.661 0.500 0.179
Co1 Co 0.000 0.500 0.500
# **Uncorrected energy**: -6.91 eV per atom
# **Calculated density**: 17.05 g/cm³
# **DFT formation energy**: -209.3 meV per atom

---

# 2
# Fe2Co5Pt (PBE, optimized geometry)
data_Fe2Co5Pt
_space_group_name_H-M_alt 'P 1'
_space_group_IT_number 1
_space_group_name_Hall 'P 1'
_cell_length_a 3.592
_cell_length_b 5.149
_cell_length_c 10.271
_cell_angle_alpha 90.00
_cell_angle_beta 90.00
_cell_angle_gamma 90.00
loop_
_atom_site_label
_atom_site_type_symbol
_atom_site_fract_x
_atom_site_fract_y
_atom_site_fract_z
Co1 Co 0.000 0.498 0.747
Co2 Co 0.000 0.502 0.253
Co3 Co 0.000 0.998 0.753
Co4 Co 0.000 0.500 0.500
Co5 Co 0.500 0.258 0.629
Co6 Co 0.500 0.242 0.129
Co7 Co 0.000 0.000 0.000
Co8 Co 0.500 0.742 0.371
Co9 Co 0.500 0.758 0.871
Co10 Co 0.000 0.002 0.247
Pt1 Pt 0.000 0.000 0.500
Pt2 Pt 0.000 0.500 0.000
Fe1 Fe 0.500 0.758 0.130
Fe2 Fe 0.500 0.258 0.370
Fe3 Fe 0.500 0.742 0.630
Fe4 Fe 0.500 0.242 0.870
# **Uncorrected energy**: -7.35 eV per atom
# **Calculated density**: 10.51 g/cm³
# **DFT formation energy**: -41.3 meV per atom

---

# 3
# FeCo2Pt (PBE, optimized geometry)
data_FeCo2Pt
_space_group_name_H-M_alt 'P 1'
_space_group_IT_number 1
_space_group_name_Hall 'P 1'
_cell_length_a 6.637
_cell_length_b 6.637
_cell_length_c 5.316
_cell_angle_alpha 51.37
_cell_angle_beta 51.37
_cell_angle_gamma 90.00
loop_
_atom_site_label
_atom_site_type_symbol
_atom_site_fract_x
_atom_site_fract_y
_atom_site_fract_z
Fe1 Fe 0.500 0.500 0.000
Fe2 Fe 0.250 0.750 0.500
Pt1 Pt 0.750 0.250 0.500
Pt2 Pt 0.000 0.000 0.000
Co1 Co 0.375 0.394 0.750
Co2 Co 0.875 0.856 0.750
Co3 Co 0.606 0.125 0.250
Co4 Co 0.144 0.625 0.250
# **Uncorrected energy**: -6.77 eV per atom
# **Calculated density**: 11.14 g/cm³
# **DFT formation energy**: 409.6 meV per atom

---

# 4
# FeCo3Pt4 (PBE, optimized geometry)
data_FeCo3Pt4
_space_group_name_H-M_alt 'P 1'
_space_group_IT_number 1
_space_group_name_Hall 'P 1'
_cell_length_a 4.636
_cell_length_b 5.408
_cell_length_c 8.713
_cell_angle_alpha 90.00
_cell_angle_beta 90.00
_cell_angle_gamma 90.00
loop_
_atom_site_label
_atom_site_type_symbol
_atom_site_fract_x
_atom_site_fract_y
_atom_site_fract_z
Pt1 Pt 0.850 0.752 0.250
Pt2 Pt 0.500 0.249 0.000
Pt3 Pt 0.150 0.752 0.750
Pt4 Pt 0.500 0.249 0.500
Pt5 Pt 0.150 0.248 0.750
Pt6 Pt 0.500 0.751 0.500
Pt7 Pt 0.500 0.751 0.000
Pt8 Pt 0.850 0.248 0.250
Co1 Co 0.338 0.500 0.250
Co2 Co 0.662 0.500 0.750
Co3 Co 0.334 0.000 0.250
Co4 Co 0.000 0.000 0.500
Co5 Co 0.000 0.000 0.000
Co6 Co 0.666 0.000 0.750
Fe1 Fe 0.000 0.500 0.500
Fe2 Fe 0.000 0.500 0.000
# **Uncorrected energy**: -6.88 eV per atom
# **Calculated density**: 15.40 g/cm³
# **DFT formation energy**: -139.9 meV per atom

---

# 5
# Fe3CoPt12 (PBE, optimized geometry)
data_Fe3CoPt12
_space_group_name_H-M_alt 'P 1'
_space_group_IT_number 1
_space_group_name_Hall 'P 1'
_cell_length_a 3.915
_cell_length_b 3.915
_cell_length_c 15.574
_cell_angle_alpha 90.00
_cell_angle_beta 90.00
_cell_angle_gamma 90.00
loop_
_atom_site_label
_atom_site_type_symbol
_atom_site_fract_x
_atom_site_fract_y
_atom_site_fract_z
Co1 Co 0.000 0.000 0.000
Pt1 Pt 0.000 0.500 0.876
Pt2 Pt 0.000 0.500 0.374
Pt3 Pt 0.500 0.500 0.750
Pt4 Pt 0.000 0.500 0.124
Pt5 Pt 0.500 0.500 0.250
Pt6 Pt 0.000 0.500 0.626
Pt7 Pt 0.500 0.000 0.124
Pt8 Pt 0.500 0.000 0.626
Pt9 Pt 0.500 0.500 0.000
Pt10 Pt 0.500 0.500 0.500
Pt11 Pt 0.500 0.000 0.374
Pt12 Pt 0.500 0.000 0.876
Fe1 Fe 0.000 0.000 0.247
Fe2 Fe 0.000 0.000 0.500
Fe3 Fe 0.000 0.000 0.753
# **Uncorrected energy**: -6.74 eV per atom
# **Calculated density**: 17.86 g/cm³
# **DFT formation energy**: -178.2 meV per atom

---

# 6
# FeCo2Pt (PBE, optimized geometry)
data_FeCo2Pt
_space_group_name_H-M_alt 'P 1'
_space_group_IT_number 1
_space_group_name_Hall 'P 1'
_cell_length_a 8.551
_cell_length_b 8.551
_cell_length_c 8.551
_cell_angle_alpha 17.74
_cell_angle_beta 17.74
_cell_angle_gamma 17.74
loop_
_atom_site_label
_atom_site_type_symbol
_atom_site_fract_x
_atom_site_fract_y
_atom_site_fract_z
Fe1 Fe 0.504 0.504 0.504
Co1 Co 0.994 0.994 0.994
Co2 Co 0.252 0.252 0.252
Pt1 Pt 0.750 0.750 0.750
# **Uncorrected energy**: -7.19 eV per atom
# **Calculated density**: 12.09 g/cm³
# **DFT formation energy**: -11.9 meV per atom

---

The lowest uncorrected energy belongs to which entry?
Fe2Co5Pt

---

Look up the DFT formation energy of the second one.
-41.3 meV per atom

---

Which value of uncorrected energy does entry 3 give?
-6.77 eV per atom